Entry 1:
{"formula": "Nd2GaSiPt6", "functional": "PBE-GGA", "state": "optimized geometry", "lattice_angstrom": [[-0.148, 3.667, 4.210], [-1.848, -6.072, 5.224], [8.486, -1.330, 1.457]], "species": ["Pt", "Pt", "Pt", "Pt", "Pt", "Pt", "Pt", "Pt", "Pt", "Pt", "Pt", "Pt", "Nd", "Nd", "Nd", "Nd", "Si", "Si", "Ga", "Ga"], "frac_coords": [[0.750, 0.522, 0.000], [0.250, 0.478, 0.500], [0.000, 0.889, 0.249], [0.000, 0.889, 0.751], [0.250, 0.522, 0.000], [0.752, 0.997, 0.500], [0.748, 0.003, 0.000], [0.248, 0.997, 0.500], [0.500, 0.111, 0.251], [0.500, 0.111, 0.749], [0.750, 0.478, 0.500], [0.252, 0.003, 0.000], [0.000, 0.272, 0.244], [0.500, 0.728, 0.744], [0.000, 0.272, 0.756], [0.500, 0.728, 0.256], [0.500, 0.244, 0.500], [0.000, 0.756, 0.000], [0.500, 0.270, 0.000], [0.000, 0.730, 0.500]], "raw_formation_energy_ev_per_atom": -0.953, "e_tot_ev_per_atom": -6.38, "magnetic_moment_mub_per_fu": 0.00}



Entry 2:
{"formula": "NdSmGa2Pt5", "functional": "PBE-GGA", "state": "optimized geometry", "lattice_angstrom": [[4.241, 0.000, 0.000], [0.000, 4.241, 0.000], [0.000, 0.000, 9.404]], "species": ["Pt", "Pt", "Pt", "Pt", "Pt", "Sm", "Ga", "Ga", "Nd"], "frac_coords": [[0.500, 0.000, 0.728], [0.000, 0.500, 0.728], [0.500, 0.500, 0.500], [0.500, 0.000, 0.272], [0.000, 0.500, 0.272], [0.000, 0.000, 0.000], [0.500, 0.500, 0.132], [0.500, 0.500, 0.868], [0.000, 0.000, 0.500]], "e_form_mev_per_atom": -909, "e_tot_ev_per_atom": -5.99, "magnetic_moment_mub_per_fu": 0.00}



Entry 3:
{"formula": "NdSmGaPt", "functional": "PBE-GGA", "state": "optimized geometry", "lattice_angstrom": [[4.048, 0.000, 0.000], [0.000, 4.390, 0.000], [-2.024, 0.000, 5.584]], "species": ["Ga", "Pt", "Sm", "Nd"], "frac_coords": [[0.572, 0.500, 0.145], [0.422, 0.000, 0.843], [0.861, 0.500, 0.722], [0.145, 0.000, 0.289]], "relative_energy_mev_per_atom": 0.0, "e_form_mev_per_atom": -859, "e_tot_ev_per_atom": -5.50, "magnetic_moment_mub_per_fu": 0.00}



Entry 4:
{"formula": "Nd2SmGa3Pt4", "functional": "PBE-GGA", "state": "optimized geometry", "lattice_angstrom": [[4.306, 0.000, 0.000], [0.000, 4.306, 0.000], [0.000, 0.000, 11.402]], "species": ["Ga", "Ga", "Ga", "Pt", "Pt", "Pt", "Pt", "Nd", "Nd", "Sm"], "frac_coords": [[0.000, 0.500, 0.120], [0.000, 0.000, 0.500], [0.500, 0.000, 0.880], [0.000, 0.500, 0.339], [0.500, 0.000, 0.661], [0.500, 0.500, 0.000], [0.000, 0.000, 0.000], [0.000, 0.500, 0.776], [0.500, 0.000, 0.224], [0.500, 0.500, 0.500]], "e_form_mev_per_atom": -945, "e_tot_ev_per_atom": -5.70, "magnetic_moment_mub_per_fu": 0.00}



Entry 5:
{"formula": "NdSmGa2Pt2", "functional": "PBE-GGA", "state": "optimized geometry", "lattice_angstrom": [[4.484, 0.000, 0.000], [-2.242, 3.883, 0.000], [0.000, 0.000, 7.382]], "species": ["Ga", "Ga", "Pt", "Pt", "Sm", "Nd"], "frac_coords": [[0.667, 0.333, 0.256], [0.333, 0.667, 0.744], [0.667, 0.333, 0.743], [0.333, 0.667, 0.257], [0.000, 0.000, 0.500], [0.000, 0.000, 0.000]], "e_form_mev_per_atom": -1018, "e_tot_ev_per_atom": -5.62, "magnetic_moment_mub_per_fu": 0.00}



Entry 6:
{"formula": "NdSmGaPt", "functional": "PBE-GGA", "state": "optimized geometry", "lattice_angstrom": [[5.151, 0.000, 0.000], [2.576, 4.461, 0.000], [2.576, 1.487, 4.206]], "species": ["Ga", "Pt", "Sm", "Nd"], "frac_coords": [[0.250, 0.250, 0.250], [0.750, 0.750, 0.750], [0.500, 0.500, 0.500], [0.000, 0.000, 0.000]], "relative_energy_mev_per_atom": 107.8, "e_form_mev_per_atom": -751, "e_tot_ev_per_atom": -5.39, "magnetic_moment_mub_per_fu": 0.00}